## La2Tb5Tm12 (PBE)

Data for a geometry-optimized La2Tb5Tm12 structure.

Output
Calculated formation energy ... 0.14 eV/atom
Magnetization ... 0.00 μB/f.u.
V ... 610 Å³ per cell
Space-group type ... C2/m, No. 12
E above lowest polymorph ... 50 meV/atom

Unit cell a=9.187 b=12.294 c=8.460 alpha=132.26 beta=90.00 gamma=111.94
Fractional coordinates of all 19 atoms:
Tb  0.698  0.395  0.389
Tm  0.436  0.253  0.604
Tm  0.095  0.189  0.306
Tm  0.977  0.314  0.066
La  0.310  0.000  0.000
Tm  0.023  0.686  0.934
Tb  0.766  0.532  0.111
Tm  0.444  0.887  0.215
Tm  0.905  0.811  0.694
Tb  0.000  0.000  0.500
Tm  0.183  0.747  0.396
Tm  0.564  0.747  0.396
Tm  0.556  0.113  0.785
Tb  0.234  0.468  0.889
Tm  0.817  0.253  0.604
Tm  0.337  0.314  0.066
La  0.690  0.000  0.000
Tb  0.302  0.605  0.611
Tm  0.663  0.686  0.934